[1]
DFT (PBEsol) results for an optimized crystal structure of Ba2MnSb.

abc: 4.616 4.881 12.843
angles: 90.00 90.00 90.00
Space group Amm2 (No. 38)
Asymmetric unit:
Ba: 0.000 0.000 0.000
Ba: 0.500 0.000 0.286
Mn: 0.000 0.000 0.701
Sb: 0.500 0.000 0.580

Properties
Magnetization   8.078 μB per cell
Fermi-level density of states   4.89 states/eV per cell
Energy relative to the elements, uncorrected   -0.902 eV per formula unit



[2]
DFT (PBEsol) results for an optimized crystal structure of HfSb2OsO.

abc: 5.499 5.499 3.783
angles: 90.00 90.00 90.00
Space group P4/mmm (No. 123)
Asymmetric unit:
Hf: 0.000 0.000 0.000
Sb: 0.000 0.500 0.000
Os: 0.500 0.500 0.500
O: 0.000 0.000 0.500

Properties
Magnetization   1.774 μB per cell
Fermi-level density of states   5.12 states/eV per cell
Energy relative to the elements, uncorrected   1.619 eV per formula unit